Model a:
Rb2BaZr | PBE-GGA | optimized geometry

Geometry as CIF:
```
data_Rb2BaZr
_space_group_name_H-M_alt 'I -4 2 d'
_space_group_IT_number 122
_space_group_name_Hall 'I -4 2bw'
_cell_length_a 5.3392
_cell_length_b 5.3392
_cell_length_c 30.3007
_cell_angle_alpha 90.00
_cell_angle_beta 90.00
_cell_angle_gamma 90.00
loop_
_atom_site_label
_atom_site_type_symbol
_atom_site_fract_x
_atom_site_fract_y
_atom_site_fract_z
Rb1 Rb 0.2373 0.2500 0.1250
Ba1 Ba 0.0000 0.0000 0.5000
Zr1 Zr 0.0000 0.0000 0.0000
```

The density of states at the Fermi level is 1.501 states/eV/atom.

=====

Model b:
Rb2BaZr | PBE-GGA | optimized geometry

Geometry as CIF:
```
data_Rb2BaZr
_space_group_name_H-M_alt 'F m -3 m'
_space_group_IT_number 225
_space_group_name_Hall '-F 4 2 3'
_cell_length_a 9.4863
_cell_length_b 9.4863
_cell_length_c 9.4863
_cell_angle_alpha 90.00
_cell_angle_beta 90.00
_cell_angle_gamma 90.00
loop_
_atom_site_label
_atom_site_type_symbol
_atom_site_fract_x
_atom_site_fract_y
_atom_site_fract_z
Rb1 Rb 0.2500 0.2500 0.2500
Ba1 Ba 0.0000 0.0000 0.0000
Zr1 Zr 0.0000 0.0000 0.5000
```

The density of states at the Fermi level is 2.701 states/eV/atom.

=====

Computed stability ranking, most favorable first: model a, model b